Here is an optimized crystal structure of SiNi from Alexandria. Energies are from GGA-PBE.

Geometry as POSCAR:
```
SiNi
1.0
4.002 -1.474 0.000
4.002 1.474 0.000
-3.974 0.000 4.157
Si Ni
2 2
direct
0.223 0.223 0.289
0.777 0.777 0.711
0.437 0.437 0.156
0.563 0.563 0.844
```

Output
The total energy comes out at -24.087 eV per cell. The calculation puts the energy relative to the elements, uncorrected at -420 meV/atom. For the density of states at the Fermi level, the calculation gives 0.34 states/eV/atom. The symmetry is C2/m.